w:
4
Lattice="4.459 0.000 0.000 -1.578 4.170 0.000 0.000 0.000 2.552" Properties=species:S:1:pos:R:3 comment="CrCo2Re | Alexandria | PBE | relaxed" dos_at_fermi_per_ev_fu=3.5 pbc="T T T"
Co 0.000 0.000 0.000
Co 1.440 2.085 0.000
Re -0.789 2.085 1.276
Cr 2.229 0.000 1.276

---

x:
4
Lattice="-1.761 2.998 0.863 -2.193 -0.485 -2.792 -2.277 -1.950 2.127" Properties=species:S:1:pos:R:3 comment="CrCo2Re | Alexandria | PBE | relaxed" dos_at_fermi_per_ev_fu=3.2 pbc="T T T"
Re -2.235 -1.217 -0.332
Cr -2.019 0.524 1.495
Co -1.977 1.257 -0.965
Co 0.000 0.000 0.000

---

Of them, x has the highest stability.

---

w:
4
Lattice="-4.017 -0.416 1.895 -3.084 -2.826 1.552 1.155 -0.157 4.251" Properties=species:S:1:pos:R:3 comment="CrCo2Re | Alexandria | PBE | relaxed" dos_at_fermi_per_ev_fu=4.9 pbc="T T T"
Co -2.946 -1.692 3.870
Co 1.129 -0.164 4.230
Cr -4.459 -2.549 5.773
Re -1.486 -0.850 1.924

---

x:
4
Lattice="4.078 0.000 0.000 2.039 3.531 0.000 2.039 1.177 3.329" Properties=species:S:1:pos:R:3 comment="CrCo2Re | Alexandria | PBE | relaxed" dos_at_fermi_per_ev_fu=5.7 pbc="T T T"
Co 6.116 3.531 2.497
Co 0.000 0.000 0.000
Re 2.039 1.177 0.832
Cr 4.078 2.354 1.665

---

y:
4
Lattice="-0.028 2.191 -1.318 -0.549 -1.293 -2.137 -7.078 0.736 1.373" Properties=species:S:1:pos:R:3 comment="CrCo2Re | Alexandria | PBE | relaxed" dos_at_fermi_per_ev_fu=4.8 pbc="T T T"
Cr -2.058 0.633 -1.384
Co -3.448 0.359 0.669
Co -0.091 0.009 0.018
Re -5.597 1.001 -0.698

---

z:
4
Lattice="2.552 0.000 0.000 0.000 2.501 -0.556 0.000 0.368 7.553" Properties=species:S:1:pos:R:3 comment="CrCo2Re | Alexandria | PBE | relaxed" dos_at_fermi_per_ev_fu=3.6 pbc="T T T"
Re 0.000 1.009 4.533
Co 1.276 1.486 6.677
Co 1.276 1.855 2.438
Cr 0.000 0.221 0.992

---

Of them, y has the highest stability.

---

w:
3
Lattice="-2.620 -2.501 2.036 3.186 1.752 2.012 -1.467 2.006 0.577" Properties=species:S:1:pos:R:3 comment="CrCoRe | Alexandria | PBE | relaxed" dos_at_fermi_per_ev_fu=3.7 pbc="T T T"
Cr -1.188 -0.395 2.226
Re 0.328 1.596 2.383
Co -0.041 0.056 0.016

---

x:
3
Lattice="-2.936 -1.404 -2.227 -3.257 -1.429 1.704 -3.397 1.985 -0.265" Properties=species:S:1:pos:R:3 comment="CrCoRe | Alexandria | PBE | relaxed" dos_at_fermi_per_ev_fu=3.9 pbc="T T T"
Cr -7.193 -0.636 -0.591
Re 0.000 0.000 0.000
Co -4.795 -0.424 -0.394

---

y:
6
Lattice="-2.341 -1.754 1.990 2.752 -1.520 1.899 1.036 5.242 2.694" Properties=species:S:1:pos:R:3 comment="CrCoRe | Alexandria | PBE | relaxed" dos_at_fermi_per_ev_fu=3.2 pbc="T T T"
Cr -0.507 -0.458 2.144
Cr 1.954 2.427 4.438
Re 2.039 -0.332 2.106
Re -0.593 2.301 4.476
Co 0.621 1.798 2.315
Co 0.825 0.171 4.267

---

Of them, y has the highest stability.

---

w:
3
Lattice="-3.687 1.348 -4.294 -4.903 -0.601 -3.073 -1.606 1.708 1.127" Properties=species:S:1:pos:R:3 comment="CrCoRe | Alexandria | PBE | relaxed" dos_at_fermi_per_ev_fu=3.4 pbc="T T T"
Re -6.228 1.072 -4.494
Cr -4.003 1.378 -1.788
Co -8.555 0.751 -7.324

---

x:
3
Lattice="-0.715 -4.472 0.160 2.329 -2.771 -2.727 0.139 3.125 3.279" Properties=species:S:1:pos:R:3 comment="CrCoRe | Alexandria | PBE | relaxed" dos_at_fermi_per_ev_fu=3.9 pbc="T T T"
Re 1.074 -4.818 -1.707
Co 1.609 -7.220 -2.558
Cr 0.546 -2.448 -0.867

---

y:
3
Lattice="4.753 -0.010 0.000 2.876 3.785 0.000 -3.815 -1.887 2.117" Properties=species:S:1:pos:R:3 comment="CrCoRe | Alexandria | PBE | relaxed" dos_at_fermi_per_ev_fu=3.5 pbc="T T T"
Cr 5.076 2.512 0.000
Re 2.510 1.242 0.000
Co 0.043 0.021 0.000

---

Of them, w has the highest stability.

---

w:
12
Lattice="4.015 0.000 0.000 -2.008 4.094 1.225 0.000 0.330 8.541" Properties=species:S:1:pos:R:3 comment="CrCo4Re | Alexandria | PBE | relaxed" dos_at_fermi_per_ev_fu=6.5 pbc="T T T"
Co -1.004 2.645 7.481
Co 1.004 1.945 6.556
Co 1.004 2.480 3.210
Co 3.011 1.780 2.286
Co -1.004 4.066 9.312
Co 1.004 0.524 4.726
Co 1.004 3.900 5.041
Co 3.011 0.359 0.455
Cr 1.004 2.047 0.613
Cr -1.004 2.212 4.883
Re 3.011 0.248 6.406
Re 1.004 0.083 2.135

---

x:
6
Lattice="0.000 3.248 3.248 3.248 0.000 3.248 3.248 3.248 0.000" Properties=species:S:1:pos:R:3 comment="CrCo4Re | Alexandria | PBE | relaxed" dos_at_fermi_per_ev_fu=9.0 pbc="T T T"
Co 2.438 2.438 2.438
Co 4.057 4.057 2.438
Co 4.057 2.438 4.057
Co 2.438 4.057 4.057
Re 0.000 0.000 0.000
Cr 4.872 4.872 4.872

---

y:
6
Lattice="0.139 -1.930 3.927 -3.944 -1.634 0.962 1.024 -4.235 0.322" Properties=species:S:1:pos:R:3 comment="CrCo4Re | Alexandria | PBE | relaxed" dos_at_fermi_per_ev_fu=7.6 pbc="T T T"
Co 0.188 -1.006 0.719
Co -2.969 -6.793 4.492
Co -1.709 -2.809 3.152
Co -1.072 -4.990 2.058
Cr 0.581 -3.082 2.125
Re -1.460 -2.934 0.642

---

Of them, y has the highest stability.

---

w:
5
Lattice="-1.270 3.679 -1.381 -1.930 -1.848 -3.149 -3.423 -0.323 2.288" Properties=species:S:1:pos:R:3 comment="Cr3CoRe | Alexandria | PBE | relaxed" dos_at_fermi_per_ev_fu=8.3 pbc="T T T"
Cr -0.635 1.840 -0.690
Cr -1.712 -0.161 1.144
Cr -0.965 -0.924 -1.574
Co 0.000 0.000 0.000
Re -3.312 0.754 -1.121

---

x:
5
Lattice="-4.236 1.288 -0.080 -1.078 -3.380 2.650 0.710 2.554 3.547" Properties=species:S:1:pos:R:3 comment="Cr3CoRe | Alexandria | PBE | relaxed" dos_at_fermi_per_ev_fu=10.2 pbc="T T T"
Re 0.000 0.000 0.000
Cr -2.118 0.644 -0.040
Cr 0.355 1.277 1.773
Cr -0.539 -1.690 1.325
Co -2.302 0.231 3.058

---

Of them, w has the highest stability.

---

w:
10
Lattice="6.784 0.000 0.000 0.000 6.784 0.000 0.000 0.000 2.583" Properties=species:S:1:pos:R:3 comment="Cr2Co2Rh | Alexandria | PBE | relaxed" dos_at_fermi_per_ev_fu=7.0 pbc="T T T"
Co 5.590 2.198 1.292
Co 1.194 4.586 1.292
Co 2.198 1.194 1.292
Co 4.586 5.590 1.292
Cr 0.794 2.598 0.000
Cr 4.186 0.794 0.000
Cr 5.990 4.186 0.000
Cr 2.598 5.990 0.000
Rh 3.392 3.392 0.000
Rh 0.000 0.000 0.000

---

x:
10
Lattice="-5.733 -3.455 -0.300 0.169 -0.857 6.643 -1.350 2.212 0.320" Properties=species:S:1:pos:R:3 comment="Cr2Co2Rh | Alexandria | PBE | relaxed" dos_at_fermi_per_ev_fu=5.0 pbc="T T T"
Rh -2.782 -2.156 3.171
Rh 0.000 0.000 0.000
Co -3.561 -2.266 0.642
Co -0.652 -0.753 2.455
Co -4.912 -3.559 3.888
Co -2.003 -2.046 5.701
Cr -1.551 -0.067 4.576
Cr -5.362 -2.033 2.086
Cr -2.522 -0.173 1.208
Cr -4.391 -1.927 5.454

---

Of them, x has the highest stability.

---

w:
12
Lattice="-2.542 -5.000 -0.797 4.878 -2.174 -1.932 1.399 -1.553 5.280" Properties=species:S:1:pos:R:3 comment="CrCoRh4 | Alexandria | PBE | relaxed" dos_at_fermi_per_ev_fu=7.3 pbc="T T T"
Rh 4.361 -7.494 2.748
Rh 1.223 -5.631 1.074
Rh 2.512 -3.096 1.478
Rh -0.626 -1.233 -0.196
Rh 0.523 -4.855 -1.566
Rh 0.073 -2.009 2.444
Rh 3.211 -3.873 4.118
Rh 3.662 -6.718 0.108
Co 3.436 -5.295 2.113
Co 0.298 -3.432 0.439
Cr 2.269 -1.708 3.478
Cr 4.008 -2.019 -0.129

---

x:
6
Lattice="-2.858 -3.742 1.853 -2.060 0.431 4.602 -4.997 0.635 0.486" Properties=species:S:1:pos:R:3 comment="CrCoRh4 | Alexandria | PBE | relaxed" dos_at_fermi_per_ev_fu=14.3 pbc="T T T"
Rh -5.167 -1.888 2.038
Rh -6.196 -1.672 4.338
Rh -4.768 0.198 3.411
Rh -3.699 -1.990 4.095
Cr 0.000 0.000 0.000
Co -2.479 -0.669 1.735

---

Of them, w has the highest stability.